No. 1
KLiSm2Cl8: optimized geometry, PBE.

The structure belongs to space group P2/m (No. 10); the cell edges are 6.687, 8.468 and 6.712 Å and the angles 90.00°, 96.45° and 90.00°. Symmetry generates all atoms from K at (0.000, 0.000, 0.000), Li at (0.000, 0.500, 0.000), Sm at (0.500, 0.258, 0.500), Cl at (0.207, 0.286, 0.198), Cl at (0.312, 0.500, 0.679) and Cl at (0.322, 0.000, 0.668).

The calculation puts the raw formation energy at -2.12 eV per atom.

No. 2
AlBiRh3: optimized geometry, PBE.

The structure belongs to space group Pm-3m (No. 221); the cell edges are 4.543, 4.543 and 4.543 Å and the angles 90.00°, 90.00° and 90.00°. Symmetry generates all atoms from Al at (0.000, 0.000, 0.000), Bi at (0.500, 0.500, 0.500) and Rh at (0.000, 0.000, 0.500).

The formation energy comes out at 0.2538 eV/atom. Its energy above the most stable polymorph in this dataset is 0.0 meV/atom.

No. 3
MoAs: optimized geometry, PBE.

The structure belongs to space group P6_3/m (No. 176); the cell edges are 8.9278, 8.9278 and 3.6067 Å and the angles 90.00°, 90.00° and 120.00°. Symmetry generates all atoms from Mo at (0.1295, 0.6347, 0.2500) and As at (0.0359, 0.3199, 0.2500).

The formation energy comes out at 0.1058 eV/atom.

No. 4
ZnCo2I: optimized geometry, PBE.

The structure belongs to space group I-42d (No. 122); the cell edges are 4.276, 4.276 and 16.839 Å and the angles 90.00°, 90.00° and 90.00°. Symmetry generates all atoms from Zn at (0.000, 0.000, 0.000), Co at (0.137, 0.250, 0.125) and I at (0.000, 0.000, 0.500).

The calculation puts the raw formation energy at 0.70 eV per atom.